Entry 1:
VASP calculation (GGA-PBEsol) on crystalline MgReP2 at its relaxed geometry.

Properties
- ΔH_f (0 K): 0.11 eV per atom

Cell: 5.5883 6.4675 3.0690 Å, 90.00 90.00 90.00°
Sites, in units of the cell vectors:
1 Mg 0.0000 0.0000 0.0000
2 Mg 0.5000 0.5000 0.0000
3 Re 0.0000 0.5000 0.0000
4 Re 0.5000 0.0000 0.0000
5 P 0.2500 0.2500 0.5000
6 P 0.2500 0.7500 0.5000
7 P 0.7500 0.2500 0.5000
8 P 0.7500 0.7500 0.5000



Entry 2:
VASP calculation (GGA-PBEsol) on crystalline Mg4P6Rh7 at its relaxed geometry.

Properties
- ΔH_f (0 K): -0.82 eV per atom

Cell: 6.7652 6.7652 6.7652 Å, 109.47 109.47 109.47°
Sites, in units of the cell vectors:
1 Mg 0.0000 0.0000 0.5000
2 Mg 0.0000 0.5000 0.0000
3 Mg 0.5000 0.0000 0.0000
4 Mg 0.5000 0.5000 0.5000
5 P 0.0000 0.3187 0.3187
6 P 0.0000 0.6813 0.6813
7 P 0.3187 0.0000 0.3187
8 P 0.3187 0.3187 0.0000
9 P 0.6813 0.0000 0.6813
10 P 0.6813 0.6813 0.0000
11 Rh 0.0000 0.0000 0.0000
12 Rh 0.2500 0.5000 0.7500
13 Rh 0.2500 0.7500 0.5000
14 Rh 0.5000 0.2500 0.7500
15 Rh 0.5000 0.7500 0.2500
16 Rh 0.7500 0.2500 0.5000
17 Rh 0.7500 0.5000 0.2500



Entry 3:
VASP calculation (GGA-PBEsol) on crystalline Mg2PRh2 at its relaxed geometry.

Properties
- ΔH_f (0 K): -0.61 eV per atom

Cell: 6.0261 6.0261 4.2947 Å, 90.00 90.00 90.00°
Sites, in units of the cell vectors:
1 Mg 0.1629 0.3371 0.0000
2 Mg 0.3371 0.8371 0.0000
3 Mg 0.6629 0.1629 0.0000
4 Mg 0.8371 0.6629 0.0000
5 P 0.0000 0.0000 0.5000
6 P 0.5000 0.5000 0.5000
7 Rh 0.1581 0.6581 0.5000
8 Rh 0.3419 0.1581 0.5000
9 Rh 0.6581 0.8419 0.5000
10 Rh 0.8419 0.3419 0.5000



Entry 4:
VASP calculation (GGA-PBEsol) on crystalline MgP2Rh at its relaxed geometry.

Properties
- ΔH_f (0 K): -0.25 eV per atom

Cell: 2.9147 3.8190 5.3067 Å, 90.00 90.00 90.00°
Sites, in units of the cell vectors:
1 Mg 0.0000 0.0000 0.0000
2 P 0.0000 0.0000 0.5123
3 P 0.5000 0.5000 0.1773
4 Rh 0.5000 0.5000 0.6332



Entry 5:
VASP calculation (GGA-PBEsol) on crystalline MgP2Rh at its relaxed geometry.

Properties
- ΔH_f (0 K): -0.23 eV per atom

Cell: 5.3213 6.8035 3.1328 Å, 90.00 90.00 90.00°
Sites, in units of the cell vectors:
1 Mg 0.0000 0.0000 0.0000
2 Mg 0.5000 0.5000 0.0000
3 P 0.2500 0.2500 0.5000
4 P 0.2500 0.7500 0.5000
5 P 0.7500 0.2500 0.5000
6 P 0.7500 0.7500 0.5000
7 Rh 0.0000 0.5000 0.0000
8 Rh 0.5000 0.0000 0.0000



Entry 6:
VASP calculation (GGA-PBEsol) on crystalline MgP2Rh at its relaxed geometry.

Properties
- ΔH_f (0 K): 0.09 eV per atom

Cell: 6.1328 6.1328 6.1328 Å, 90.00 90.00 90.00°
Sites, in units of the cell vectors:
1 Mg 0.0000 0.0000 0.0000
2 Mg 0.0000 0.5000 0.5000
3 Mg 0.5000 0.0000 0.5000
4 Mg 0.5000 0.5000 0.0000
5 P 0.0000 0.0000 0.5000
6 P 0.0000 0.5000 0.0000
7 P 0.2500 0.2500 0.2500
8 P 0.2500 0.7500 0.7500
9 P 0.5000 0.0000 0.0000
10 P 0.5000 0.5000 0.5000
11 P 0.7500 0.2500 0.7500
12 P 0.7500 0.7500 0.2500
13 Rh 0.2500 0.2500 0.7500
14 Rh 0.2500 0.7500 0.2500
15 Rh 0.7500 0.2500 0.2500
16 Rh 0.7500 0.7500 0.7500



Entry 7:
VASP calculation (GGA-PBEsol) on crystalline MgSiPRh2 at its relaxed geometry.

Properties
- Uncorrected formation energy: 0.2076 eV per atom

Cell: 4.4172 4.4172 4.4650 Å, 90.00 90.00 90.00°
Sites, in units of the cell vectors:
1 Mg 0.0000 0.0000 0.0000
2 Si 0.5000 0.5000 0.5000
3 P 0.5000 0.5000 0.0000
4 Rh 0.0000 0.5000 0.5000
5 Rh 0.5000 0.0000 0.5000



Entry 8:
VASP calculation (GGA-PBEsol) on crystalline MgTcPRh2 at its relaxed geometry.

Properties
- ΔH_f (0 K): 1.60 eV per atom

Cell: 4.3981 4.3981 4.4318 Å, 90.00 90.00 90.00°
Sites, in units of the cell vectors:
1 Mg 0.0000 0.0000 0.0000
2 Tc 0.5000 0.5000 0.5000
3 P 0.0000 0.0000 0.5000
4 Rh 0.0000 0.5000 0.0000
5 Rh 0.5000 0.0000 0.0000



Entry 9:
VASP calculation (GGA-PBEsol) on crystalline Mg2PRu2 at its relaxed geometry.

Properties
- ΔH_f (0 K): -0.40 eV per atom

Cell: 5.9820 5.9820 4.3392 Å, 90.00 90.00 90.00°
Sites, in units of the cell vectors:
1 Mg 0.1640 0.3360 0.0000
2 Mg 0.3360 0.8360 0.0000
3 Mg 0.6640 0.1640 0.0000
4 Mg 0.8360 0.6640 0.0000
5 P 0.0000 0.0000 0.5000
6 P 0.5000 0.5000 0.5000
7 Ru 0.1515 0.6515 0.5000
8 Ru 0.3485 0.1515 0.5000
9 Ru 0.6515 0.8485 0.5000
10 Ru 0.8485 0.3485 0.5000



Entry 10:
VASP calculation (GGA-PBEsol) on crystalline Mg4P2Ru5 at its relaxed geometry.

Properties
- ΔH_f (0 K): -0.33 eV per atom

Cell: 8.8789 11.9073 3.0625 Å, 90.00 90.00 90.00°
Sites, in units of the cell vectors:
1 Mg 0.0160 0.1307 0.0000
2 Mg 0.1431 0.3447 0.0000
3 Mg 0.3569 0.8447 0.0000
4 Mg 0.4840 0.6307 0.0000
5 Mg 0.5160 0.3693 0.0000
6 Mg 0.6431 0.1553 0.0000
7 Mg 0.8569 0.6553 0.0000
8 Mg 0.9840 0.8693 0.0000
9 P 0.1761 0.5789 0.0000
10 P 0.3239 0.0789 0.0000
11 P 0.6761 0.9211 0.0000
12 P 0.8239 0.4211 0.0000
13 Ru 0.0000 0.5000 0.5000
14 Ru 0.1575 0.7182 0.5000
15 Ru 0.1803 0.9856 0.5000
16 Ru 0.3197 0.4856 0.5000
17 Ru 0.3425 0.2182 0.5000
18 Ru 0.5000 0.0000 0.5000
19 Ru 0.6575 0.7818 0.5000
20 Ru 0.6803 0.5144 0.5000
21 Ru 0.8197 0.0144 0.5000
22 Ru 0.8425 0.2818 0.5000



Entry 11:
VASP calculation (GGA-PBEsol) on crystalline MgPRuS2 at its relaxed geometry.

Properties
- Uncorrected formation energy: 1.1556 eV per atom

Cell: 4.5493 4.5493 4.6892 Å, 90.00 90.00 90.00°
Sites, in units of the cell vectors:
1 Mg 0.0000 0.0000 0.0000
2 P 0.0000 0.0000 0.5000
3 Ru 0.5000 0.5000 0.5000
4 S 0.0000 0.5000 0.0000
5 S 0.5000 0.0000 0.0000



Entry 12:
VASP calculation (GGA-PBEsol) on crystalline MgP2S2 at its relaxed geometry.

Properties
- Uncorrected formation energy: 0.9033 eV per atom

Cell: 4.5909 4.5909 4.7720 Å, 90.00 90.00 90.00°
Sites, in units of the cell vectors:
1 Mg 0.0000 0.0000 0.0000
2 P 0.0000 0.0000 0.5000
3 P 0.5000 0.5000 0.5000
4 S 0.0000 0.5000 0.0000
5 S 0.5000 0.0000 0.0000



Entry 13:
VASP calculation (GGA-PBEsol) on crystalline MgScPS2 at its relaxed geometry.

Properties
- Uncorrected formation energy: -0.3634 eV per atom

Cell: 4.8252 4.8252 4.8812 Å, 90.00 90.00 90.00°
Sites, in units of the cell vectors:
1 Mg 0.0000 0.0000 0.0000
2 Sc 0.5000 0.5000 0.5000
3 P 0.5000 0.5000 0.0000
4 S 0.0000 0.5000 0.5000
5 S 0.5000 0.0000 0.5000



Entry 14:
VASP calculation (GGA-PBEsol) on crystalline Mg2SiPS at its relaxed geometry.

Properties
- Uncorrected formation energy: 0.1783 eV per atom

Cell: 4.6919 4.6919 4.6517 Å, 90.00 90.00 90.00°
Sites, in units of the cell vectors:
1 Mg 0.0000 0.5000 0.0000
2 Mg 0.5000 0.0000 0.0000
3 Si 0.0000 0.0000 0.5000
4 P 0.5000 0.5000 0.5000
5 S 0.0000 0.0000 0.0000